1.
# Np2TlS4, optimized geometry, DFT GGA-PBE
data_Np2TlS4
_chemical_formula_sum 'Np8 Tl4 S16'
_cell_length_a 8.518
_cell_length_b 8.518
_cell_length_c 8.564
_cell_angle_alpha 90.00
_cell_angle_beta 90.00
_cell_angle_gamma 90.00
_space_group_name_H-M_alt 'I -4 2 d'
_space_group_IT_number 122
_space_group_name_Hall 'I -4 2bw'
loop_
_atom_site_label
_atom_site_fract_x
_atom_site_fract_y
_atom_site_fract_z
Np1 0.136 0.750 0.125
Tl1 0.000 0.000 0.500
S1 0.080 0.661 0.426
# density of states at the Fermi level = 2.52 states/eV per atom
# ΔE to the lowest computed polymorph = 0.37 eV/f.u.
# formation energy (no corrections) = -1.060 eV per atom

***

2.
# Np3Tl4S8, optimized geometry, DFT GGA-PBE
data_Np3Tl4S8
_chemical_formula_sum 'Np9 Tl12 S24'
_cell_length_a 8.2351
_cell_length_b 8.2351
_cell_length_c 23.4436
_cell_angle_alpha 90.00
_cell_angle_beta 90.00
_cell_angle_gamma 120.00
_space_group_name_H-M_alt 'R -3 m'
_space_group_IT_number 166
_space_group_name_Hall '-R 3 2"'
loop_
_atom_site_label
_atom_site_fract_x
_atom_site_fract_y
_atom_site_fract_z
Np1 0.0000 0.5000 0.0000
Tl1 0.0000 0.0000 0.0000
Tl2 0.0000 0.0000 0.1409
Tl3 0.0000 0.0000 0.5000
S1 0.0000 0.0000 0.2753
S2 0.0371 0.5185 0.2704
# density of states at the Fermi level = 1.93 states/eV per atom
# formation energy (no corrections) = -0.890 eV per atom

***

- Look up the formation energy (no corrections) of the second one.
  -0.890 eV per atom

***

- What is the formula in the second record?
  Np3Tl4S8

***

- Which of these has the highest density of states at the Fermi level?
  Np2TlS4

***

What did the second record say?
# Np3Tl4S8, optimized geometry, DFT GGA-PBE
data_Np3Tl4S8
_chemical_formula_sum 'Np9 Tl12 S24'
_cell_length_a 8.2351
_cell_length_b 8.2351
_cell_length_c 23.4436
_cell_angle_alpha 90.00
_cell_angle_beta 90.00
_cell_angle_gamma 120.00
_space_group_name_H-M_alt 'R -3 m'
_space_group_IT_number 166
_space_group_name_Hall '-R 3 2"'
loop_
_atom_site_label
_atom_site_fract_x
_atom_site_fract_y
_atom_site_fract_z
Np1 0.0000 0.5000 0.0000
Tl1 0.0000 0.0000 0.0000
Tl2 0.0000 0.0000 0.1409
Tl3 0.0000 0.0000 0.5000
S1 0.0000 0.0000 0.2753
S2 0.0371 0.5185 0.2704
# density of states at the Fermi level = 1.93 states/eV per atom
# formation energy (no corrections) = -0.890 eV per atom